No. 1
DFT (PBE) results for a relaxed Na2Ge2AsPd5 crystal.

Unit cell a=3.0969 b=10.6630 c=10.6630 alpha=90.00 beta=90.00 gamma=90.00
Last column: nearest neighbours and their distance in Å.
Fractional coordinates of all 20 atoms:
Na (0.0000, 0.6711, 0.1711)  3 Ge 2.96-3.27, 10 Pd 3.01-3.30, 2 Na 3.10
Na (0.0000, 0.3289, 0.8289)  3 Ge 2.96-3.27, 10 Pd 3.01-3.30, 2 Na 3.10
Na (0.0000, 0.1711, 0.3289)  3 Ge 2.96-3.27, 10 Pd 3.01-3.30, 2 Na 3.10
Na (0.0000, 0.8289, 0.6711)  3 Ge 2.96-3.27, 10 Pd 3.01-3.30, 2 Na 3.10
Ge (0.0000, 0.1327, 0.6327)  6 Pd 2.52-2.53
Ge (0.0000, 0.8673, 0.3673)  6 Pd 2.52-2.53
Ge (0.0000, 0.6327, 0.8673)  6 Pd 2.52-2.53
Ge (0.0000, 0.3673, 0.1327)  6 Pd 2.52-2.53
As (0.0000, 0.0000, 0.0000)  8 Pd 2.67
As (0.0000, 0.5000, 0.5000)  8 Pd 2.67
Pd (0.5000, 0.1933, 0.0663)  2 Ge 2.52, 2 As 2.67
Pd (0.5000, 0.8067, 0.9337)  2 Ge 2.52, 2 As 2.67
Pd (0.5000, 0.0663, 0.8067)  2 Ge 2.52, 2 As 2.67
Pd (0.5000, 0.6933, 0.4337)  2 Ge 2.52, 2 As 2.67
Pd (0.5000, 0.9337, 0.1933)  2 Ge 2.52, 2 As 2.67
Pd (0.5000, 0.3067, 0.5663)  2 Ge 2.52, 2 As 2.67
Pd (0.5000, 0.5663, 0.6933)  2 Ge 2.52, 2 As 2.67
Pd (0.5000, 0.4337, 0.3067)  2 Ge 2.52, 2 As 2.67
Pd (0.5000, 0.5000, 0.0000)  4 Ge 2.53
Pd (0.5000, 0.0000, 0.5000)  4 Ge 2.53

M_tot	0.00	μB/f.u.
DFT total energy	-93.00	eV per cell
space-group type	P4/mbm
energy of formation from the pure elements	-401	meV/atom
volume	17.61	A^3/atom



No. 2
DFT (PBE) results for a relaxed Nd2ZnGe2 crystal.

Unit cell a=4.2747 b=5.8676 c=5.8672 alpha=60.92 beta=68.64 gamma=68.64
Last column: nearest neighbours and their distance in Å.
Fractional coordinates of all 5 atoms:
Nd (0.7068, 0.7932, 0.2932)  6 Ge 3.15, 4 Zn 3.43-3.53
Nd (0.2932, 0.2068, 0.7068)  6 Ge 3.15, 4 Zn 3.43-3.53
Zn (0.5000, 0.5000, 0.0000)  4 Ge 2.70
Ge (0.0000, 0.2230, 0.2770)  1 Ge 2.65, 2 Zn 2.70
Ge (0.0000, 0.7770, 0.7230)  1 Ge 2.65, 2 Zn 2.70

M_tot	0.44	μB/f.u.
DFT total energy	-23.20	eV per cell
space-group type	Immm
energy of formation from the pure elements	-631	meV/atom
volume	23.31	A^3/atom



No. 3
DFT (PBE) results for a relaxed Rb2Er2BiO6 crystal.

Unit cell a=5.9936 b=5.9936 c=6.9922 alpha=98.04 beta=98.04 gamma=120.01
Last column: nearest neighbours and their distance in Å.
Fractional coordinates of all 11 atoms:
Rb (0.8335, 0.1665, 0.0000)  6 O 2.98-2.99
Rb (0.1665, 0.8335, 0.0000)  6 O 2.98-2.99
Er (0.3344, 0.6656, 0.5000)  6 O 2.27-2.30
Er (0.6656, 0.3344, 0.5000)  6 O 2.27-2.30
Bi (0.0000, 0.0000, 0.5000)  6 O 2.29-2.33
O (0.7240, 0.7240, 0.6691)  1 Bi 2.29, 2 Er 2.30
O (0.0504, 0.3919, 0.6685)  2 Er 2.27-2.30, 1 Bi 2.33
O (0.2760, 0.2760, 0.3309)  1 Bi 2.29, 2 Er 2.30
O (0.3919, 0.0504, 0.6685)  2 Er 2.27-2.30, 1 Bi 2.33
O (0.9496, 0.6081, 0.3315)  2 Er 2.27-2.30, 1 Bi 2.33
O (0.6081, 0.9496, 0.3315)  2 Er 2.27-2.30, 1 Bi 2.33

M_tot	0.83	μB/f.u.
uncorrected formation energy	-2.283	eV/atom
DFT total energy	-69.80	eV per cell
space-group type	C2/m
volume	18.98	A^3/atom